{
  "formula": "AcCuRh",
  "functional": "PBE",
  "state": "optimized geometry",
  "lattice": [[0.0000, 3.3318, 3.3318], [3.3318, 0.0000, 3.3318], [3.3318, 3.3318, 0.0000]],
  "species": ["Ac", "Cu", "Rh"],
  "fractional_positions": [[0.0000, 0.0000, 0.0000], [0.5000, 0.5000, 0.5000], [0.2500, 0.2500, 0.2500]],
  "formation_energy_mev_per_atom": -158
}